Ti6InPd12: optimized geometry, PBE.

Calculated values
Its symmetry is R-3 (148). For the formation enthalpy at 0 K, the calculation gives -0.533 eV/atom.

CIF file:
```
data_Ti6InPd12
_cell_length_a 7.440
_cell_length_b 7.440
_cell_length_c 7.440
_cell_angle_alpha 110.87
_cell_angle_beta 110.87
_cell_angle_gamma 110.87
_symmetry_space_group_name_H-M 'P 1'
_symmetry_Int_Tables_number 1
_symmetry_space_group_name_Hall 'P 1'
loop_
_atom_site_label
_atom_site_type_symbol
_atom_site_fract_x
_atom_site_fract_y
_atom_site_fract_z
_atom_site_occupancy
Ti1 Ti 0.081 0.368 0.589 1
Ti2 Ti 0.368 0.589 0.081 1
Ti3 Ti 0.411 0.919 0.632 1
Ti4 Ti 0.589 0.081 0.368 1
Ti5 Ti 0.632 0.411 0.919 1
Ti6 Ti 0.919 0.632 0.411 1
In1 In 0.000 0.000 0.000 1
Pd1 Pd 0.113 0.736 0.169 1
Pd2 Pd 0.169 0.113 0.736 1
Pd3 Pd 0.205 0.479 0.332 1
Pd4 Pd 0.264 0.831 0.887 1
Pd5 Pd 0.332 0.205 0.479 1
Pd6 Pd 0.479 0.332 0.205 1
Pd7 Pd 0.521 0.668 0.795 1
Pd8 Pd 0.668 0.795 0.521 1
Pd9 Pd 0.736 0.169 0.113 1
Pd10 Pd 0.795 0.521 0.668 1
Pd11 Pd 0.831 0.887 0.264 1
Pd12 Pd 0.887 0.264 0.831 1
```

---

SrLa3Ir: optimized geometry, PBE.

Calculated values
Its symmetry is R-3 (148). For the formation enthalpy at 0 K, the calculation gives -0.238 eV/atom. As for the relative energy among the computed polymorphs: 85 meV per atom.

CIF file:
```
data_SrLa3Ir
_cell_length_a 10.557
_cell_length_b 10.557
_cell_length_c 10.557
_cell_angle_alpha 39.62
_cell_angle_beta 39.62
_cell_angle_gamma 39.62
_symmetry_space_group_name_H-M 'P 1'
_symmetry_Int_Tables_number 1
_symmetry_space_group_name_Hall 'P 1'
loop_
_atom_site_label
_atom_site_type_symbol
_atom_site_fract_x
_atom_site_fract_y
_atom_site_fract_z
_atom_site_occupancy
Sr1 Sr 0.170 0.170 0.170 1
Sr2 Sr 0.830 0.830 0.830 1
La1 La 0.068 0.712 0.380 1
La2 La 0.288 0.620 0.932 1
La3 La 0.380 0.068 0.712 1
La4 La 0.620 0.932 0.288 1
La5 La 0.712 0.380 0.068 1
La6 La 0.932 0.288 0.620 1
Ir1 Ir 0.330 0.330 0.330 1
Ir2 Ir 0.670 0.670 0.670 1
```

---

Pr2PuN: optimized geometry, PBE.

Calculated values
Its symmetry is R-3m (166). For the raw formation energy, the calculation gives -0.371 eV/atom. As for the relative energy among the computed polymorphs: 0 meV per atom.

CIF file:
```
data_Pr2PuN
_cell_length_a 3.568
_cell_length_b 3.568
_cell_length_c 29.475
_cell_angle_alpha 90.00
_cell_angle_beta 90.00
_cell_angle_gamma 120.00
_symmetry_space_group_name_H-M 'P 1'
_symmetry_Int_Tables_number 1
_symmetry_space_group_name_Hall 'P 1'
loop_
_atom_site_label
_atom_site_type_symbol
_atom_site_fract_x
_atom_site_fract_y
_atom_site_fract_z
_atom_site_occupancy
Pr1 Pr 0.000 0.000 0.118 1
Pr2 Pr 0.000 0.000 0.882 1
Pr3 Pr 0.333 0.667 0.549 1
Pr4 Pr 0.333 0.667 0.785 1
Pr5 Pr 0.667 0.333 0.215 1
Pr6 Pr 0.667 0.333 0.451 1
Pu1 Pu 0.000 0.000 0.000 1
Pu2 Pu 0.333 0.667 0.667 1
Pu3 Pu 0.667 0.333 0.333 1
N1 N 0.000 0.000 0.500 1
N2 N 0.333 0.667 0.167 1
N3 N 0.667 0.333 0.833 1
```

---

NdDy2Pa: optimized geometry, PBE.

Calculated values
Its symmetry is R3m (160). For the formation enthalpy at 0 K, the calculation gives 0.123 eV/atom. As for the relative energy among the computed polymorphs: 0 meV per atom.

CIF file:
```
data_NdDy2Pa
_cell_length_a 3.451
_cell_length_b 3.451
_cell_length_c 34.924
_cell_angle_alpha 90.00
_cell_angle_beta 90.00
_cell_angle_gamma 120.00
_symmetry_space_group_name_H-M 'P 1'
_symmetry_Int_Tables_number 1
_symmetry_space_group_name_Hall 'P 1'
loop_
_atom_site_label
_atom_site_type_symbol
_atom_site_fract_x
_atom_site_fract_y
_atom_site_fract_z
_atom_site_occupancy
Nd1 Nd 0.000 0.000 0.000 1
Nd2 Nd 0.333 0.667 0.667 1
Nd3 Nd 0.667 0.333 0.333 1
Dy1 Dy 0.000 0.000 0.421 1
Dy2 Dy 0.000 0.000 0.579 1
Dy3 Dy 0.333 0.667 0.087 1
Dy4 Dy 0.333 0.667 0.246 1
Dy5 Dy 0.667 0.333 0.754 1
Dy6 Dy 0.667 0.333 0.913 1
Pa1 Pa 0.000 0.000 0.166 1
Pa2 Pa 0.333 0.667 0.833 1
Pa3 Pa 0.667 0.333 0.500 1
```

---

AgHgAu5: optimized geometry, PBE.

Calculated values
Its symmetry is C2/c (15). For the formation enthalpy at 0 K, the calculation gives 0.045 eV/atom.

CIF file:
```
data_AgHgAu5
_cell_length_a 7.227
_cell_length_b 7.227
_cell_length_c 5.648
_cell_angle_alpha 96.48
_cell_angle_beta 96.48
_cell_angle_gamma 66.83
_symmetry_space_group_name_H-M 'P 1'
_symmetry_Int_Tables_number 1
_symmetry_space_group_name_Hall 'P 1'
loop_
_atom_site_label
_atom_site_type_symbol
_atom_site_fract_x
_atom_site_fract_y
_atom_site_fract_z
_atom_site_occupancy
Ag1 Ag 0.240 0.760 0.750 1
Ag2 Ag 0.760 0.240 0.250 1
Hg1 Hg 0.000 0.500 0.000 1
Hg2 Hg 0.500 0.000 0.500 1
Au1 Au 0.100 0.284 0.530 1
Au2 Au 0.113 0.887 0.250 1
Au3 Au 0.284 0.100 0.030 1
Au4 Au 0.338 0.458 0.350 1
Au5 Au 0.458 0.338 0.850 1
Au6 Au 0.542 0.662 0.150 1
Au7 Au 0.662 0.542 0.650 1
Au8 Au 0.716 0.900 0.970 1
Au9 Au 0.887 0.113 0.750 1
Au10 Au 0.900 0.716 0.470 1
```

---

TaTi2CdPb: optimized geometry, PBE.

Calculated values
Its symmetry is P4/mmm (123). For the formation enthalpy at 0 K, the calculation gives 0.918 eV/atom.

CIF file:
```
data_TaTi2CdPb
_cell_length_a 4.823
_cell_length_b 4.823
_cell_length_c 5.494
_cell_angle_alpha 90.00
_cell_angle_beta 90.00
_cell_angle_gamma 90.00
_symmetry_space_group_name_H-M 'P 1'
_symmetry_Int_Tables_number 1
_symmetry_space_group_name_Hall 'P 1'
loop_
_atom_site_label
_atom_site_type_symbol
_atom_site_fract_x
_atom_site_fract_y
_atom_site_fract_z
_atom_site_occupancy
Ta1 Ta 0.000 0.000 0.000 1
Ti1 Ti 0.000 0.500 0.000 1
Ti2 Ti 0.500 0.000 0.000 1
Cd1 Cd 0.000 0.000 0.500 1
Pb1 Pb 0.500 0.500 0.500 1
```

---

Number 1: DOS(E_F) 15.55 states/eV per cell. Number 2: DOS(E_F) 10.65 states/eV per cell. Number 3: DOS(E_F) 38.88 states/eV per cell. Number 4: DOS(E_F) 19.66 states/eV per cell. Number 5: DOS(E_F) 3.38 states/eV per cell. Number 6: DOS(E_F) 5.41 states/eV per cell.